This record from Alexandria via LeMat-Bulk describes an optimized crystal structure of TbZn6Pd4. The functional is GGA-PBE.

Cell and atoms, written as CIF:
```
data_TbZn6Pd4
_cell_length_a 6.646
_cell_length_b 6.646
_cell_length_c 6.646
_cell_angle_alpha 120.14
_cell_angle_beta 120.14
_cell_angle_gamma 89.76
_symmetry_space_group_name_H-M 'P 1'
_symmetry_Int_Tables_number 1
_symmetry_space_group_name_Hall 'P 1'
loop_
_atom_site_label
_atom_site_type_symbol
_atom_site_fract_x
_atom_site_fract_y
_atom_site_fract_z
Tb1 Tb 0.000 0.000 0.000
Zn1 Zn 0.000 0.500 0.500
Zn2 Zn 0.126 0.126 0.655
Zn3 Zn 0.472 0.472 0.345
Zn4 Zn 0.500 0.000 0.500
Zn5 Zn 0.528 0.874 0.000
Zn6 Zn 0.874 0.528 0.000
Pd1 Pd 0.239 0.607 0.000
Pd2 Pd 0.393 0.393 0.632
Pd3 Pd 0.607 0.239 0.000
Pd4 Pd 0.761 0.761 0.368
```

Computed properties:
Energy of formation from the pure elements ... -0.365 eV per atom